DFT (PBE-GGA) results for Ca3Zn2Cu3 after structural relaxation.

Summary:
Spin magnetization ... 0.00 μB/f.u.
DOS(E_F) ... 7.714 states/eV/cell
Formation energy ... -0.059 eV/atom

Cell lengths 4.669, 5.625, 13.861 Å; angles 90.00, 90.00, 114.52 degrees
Fractional coordinates of all 16 atoms:
Ca 0.464 0.928 0.250
Zn 0.813 0.626 0.837
Zn 0.187 0.374 0.337
Ca 0.348 0.696 0.538
Zn 0.187 0.374 0.163
Ca 0.652 0.304 0.038
Ca 0.348 0.696 0.962
Cu 0.044 0.088 0.912
Ca 0.536 0.072 0.750
Cu 0.768 0.537 0.250
Cu 0.956 0.912 0.412
Zn 0.813 0.626 0.663
Cu 0.956 0.912 0.088
Cu 0.232 0.463 0.750
Ca 0.652 0.304 0.462
Cu 0.044 0.088 0.588


DFT (PBE-GGA) results for FeTe2S after structural relaxation.

Summary:
Spin magnetization ... 0.54 μB/f.u.
DOS(E_F) ... 10.600 states/eV/cell
E_form (uncorrected) ... 0.33 eV/atom

Cell lengths 6.142, 6.142, 7.189 Å; angles 64.71, 64.71, 90.00 degrees
Fractional coordinates of all 8 atoms:
S 0.500 0.500 0.000
Fe 0.000 0.000 0.000
Te 0.875 0.938 0.750
Fe 0.750 0.250 0.500
Te 0.688 0.125 0.250
S 0.250 0.750 0.500
Te 0.375 0.312 0.750
Te 0.062 0.625 0.250


DFT (PBE-GGA) results for Ac8InNi2 after structural relaxation.

Summary:
Spin magnetization ... 0.00 μB/f.u.
DOS(E_F) ... 12.642 states/eV/cell
Formation energy ... -0.069 eV/atom

Cell lengths 6.033, 8.682, 8.682 Å; angles 114.68, 97.62, 97.62 degrees
Fractional coordinates of all 11 atoms:
Ac 0.579 0.080 0.339
Ac 0.579 0.339 0.080
Ac 0.000 0.759 0.248
Ac 0.421 0.667 0.926
Ac 0.000 0.248 0.759
Ni 0.500 0.296 0.710
Ac 0.803 0.614 0.614
In 0.000 0.003 0.003
Ni 0.500 0.710 0.296
Ac 0.421 0.926 0.667
Ac 0.197 0.392 0.392


DFT (PBE-GGA) results for Dy4NpBi5 after structural relaxation.

Summary:
Spin magnetization ... 3.90 μB/f.u.
DOS(E_F) ... 11.915 states/eV/cell
Formation energy ... -0.659 eV/atom

Cell lengths 4.482, 6.343, 11.880 Å; angles 105.49, 100.87, 90.00 degrees
Fractional coordinates of all 10 atoms:
Dy 0.399 0.399 0.799
Dy 0.799 0.799 0.597
Bi 0.200 0.700 0.400
Bi 0.800 0.300 0.600
Bi 0.601 0.101 0.202
Dy 0.201 0.201 0.403
Bi 0.399 0.899 0.798
Bi 0.000 0.500 0.000
Np 0.000 0.000 0.000
Dy 0.601 0.601 0.201


DFT (PBE-GGA) results for Zr2SbPb after structural relaxation.

Summary:
Spin magnetization ... 0.00 μB/f.u.
DOS(E_F) ... 4.495 states/eV/cell
Excess energy over the best structure of this formula in the dataset ... 36 kJ/mol of formula units
E_form (uncorrected) ... -0.25 eV/atom

Cell lengths 3.260, 5.360, 5.360 Å; angles 90.00, 90.00, 90.00 degrees
Fractional coordinates of all 4 atoms:
Pb 0.500 0.500 0.000
Sb 0.500 0.000 0.500
Zr 0.000 0.000 0.000
Zr 0.000 0.500 0.500


DFT (PBE-GGA) results for ScSnIrAu after structural relaxation.

Summary:
Spin magnetization ... 0.00 μB/f.u.
DOS(E_F) ... 1.951 states/eV/cell
Formation energy ... -0.506 eV/atom

Cell lengths 4.708, 4.708, 4.708 Å; angles 60.00, 60.00, 60.00 degrees
Fractional coordinates of all 4 atoms:
Sc 0.750 0.750 0.750
Au 0.500 0.500 0.500
Ir 0.000 0.000 0.000
Sn 0.250 0.250 0.250


DFT (PBE-GGA) results for Rb2SnI4 after structural relaxation.

Summary:
Spin magnetization ... 0.00 μB/f.u.
DOS(E_F) ... 0.000 states/eV/cell
Excess energy over the best structure of this formula in the dataset ... 0 kJ/mol of formula units
E_form (uncorrected) ... -1.07 eV/atom

Cell lengths 4.975, 9.215, 14.907 Å; angles 90.00, 90.00, 90.00 degrees
Fractional coordinates of all 14 atoms:
Rb 0.500 0.588 0.321
Rb 0.500 0.412 0.679
I 0.000 0.625 0.801
Sn 0.000 0.000 0.500
Sn 0.000 0.500 0.000
I 0.500 0.780 0.550
I 0.000 0.875 0.301
I 0.000 0.375 0.199
Rb 0.500 0.088 0.179
I 0.500 0.280 0.950
I 0.500 0.720 0.050
Rb 0.500 0.912 0.821
I 0.000 0.125 0.699
I 0.500 0.220 0.450


DFT (PBE-GGA) results for TlCrP2 after structural relaxation.

Summary:
Spin magnetization ... 3.79 μB/f.u.
DOS(E_F) ... 1.352 states/eV/cell
Formation energy ... 0.756 eV/atom
Excess energy over the best structure of this formula in the dataset ... 285 kJ/mol of formula units

Cell lengths 4.721, 4.721, 4.721 Å; angles 60.00, 60.00, 60.00 degrees
Fractional coordinates of all 4 atoms:
Tl 0.750 0.750 0.750
Cr 0.500 0.500 0.500
P 0.250 0.250 0.250
P 0.000 0.000 0.000


DFT (PBE-GGA) results for Y6ErPd3 after structural relaxation.

Summary:
Spin magnetization ... 0.00 μB/f.u.
DOS(E_F) ... 22.888 states/eV/cell
Formation energy ... -0.499 eV/atom

Cell lengths 7.245, 8.745, 8.745 Å; angles 98.71, 90.00, 90.00 degrees
Fractional coordinates of all 20 atoms:
Er 0.542 0.680 0.320
Pd 0.455 0.291 0.088
Y 0.018 0.771 0.229
Y 0.169 0.707 0.629
Y 0.323 0.579 0.967
Y 0.169 0.371 0.293
Y 0.823 0.421 0.033
Pd 0.373 0.421 0.579
Y 0.157 0.036 0.964
Y 0.669 0.629 0.707
Pd 0.955 0.088 0.291
Y 0.669 0.293 0.371
Er 0.042 0.320 0.680
Y 0.518 0.229 0.771
Y 0.323 0.033 0.421
Y 0.657 0.964 0.036
Pd 0.873 0.579 0.421
Y 0.823 0.967 0.579
Pd 0.955 0.709 0.912
Pd 0.455 0.912 0.709


DFT (PBE-GGA) results for ErPuP2O8 after structural relaxation.

Summary:
Spin magnetization ... 5.00 μB/f.u.
DOS(E_F) ... 6.466 states/eV/cell
E_form (uncorrected) ... -2.78 eV/atom

Cell lengths 5.267, 5.267, 7.065 Å; angles 90.00, 90.00, 120.00 degrees
Fractional coordinates of all 12 atoms:
O 0.667 0.333 0.988
O 0.653 0.826 0.720
O 0.827 0.653 0.280
Pu 0.000 0.000 0.000
P 0.667 0.333 0.204
Er 0.000 0.000 0.500
O 0.174 0.827 0.720
O 0.347 0.174 0.280
P 0.333 0.667 0.796
O 0.333 0.667 0.012
O 0.173 0.347 0.720
O 0.826 0.173 0.280


DFT (PBE-GGA) results for NaLiInGe after structural relaxation.

Summary:
Spin magnetization ... 0.00 μB/f.u.
DOS(E_F) ... 2.823 states/eV/cell
Formation energy ... -0.094 eV/atom
Excess energy over the best structure of this formula in the dataset ... 0 kJ/mol of formula units

Cell lengths 4.958, 4.958, 4.958 Å; angles 60.00, 60.00, 60.00 degrees
Fractional coordinates of all 4 atoms:
Ge 0.250 0.250 0.250
Li 0.750 0.750 0.750
Na 0.500 0.500 0.500
In 0.000 0.000 0.000


DFT (PBE-GGA) results for Ce2PrH8 after structural relaxation.

Summary:
Final energy ... -4.489 eV per atom
Spin magnetization ... 1.96 μB/f.u.
DOS(E_F) ... 14.302 states/eV/cell

Cell lengths 3.886, 5.330, 6.704 Å; angles 113.42, 106.85, 90.00 degrees
Fractional coordinates of all 11 atoms:
H 0.168 0.168 0.336
Pr 0.500 0.000 0.000
Ce 0.172 0.672 0.345
H 0.832 0.832 0.664
Ce 0.828 0.328 0.655
H 0.000 0.729 0.000
H 0.661 0.424 0.321
H 0.339 0.102 0.679
H 0.339 0.576 0.679
H 0.000 0.271 0.000
H 0.661 0.898 0.321


DFT (PBE-GGA) results for Y2CoRh after structural relaxation.

Summary:
Spin magnetization ... 0.41 μB/f.u.
DOS(E_F) ... 1.336 states/eV/cell
Formation energy ... -0.479 eV/atom

Cell lengths 3.392, 3.392, 8.348 Å; angles 66.00, 66.00, 90.00 degrees
Fractional coordinates of all 4 atoms:
Y 0.494 0.494 0.506
Rh 0.250 0.250 0.250
Y 0.006 0.006 0.994
Co 0.750 0.750 0.750


DFT (PBE-GGA) results for VFe2Pd9 after structural relaxation.

Summary:
Spin magnetization ... 9.83 μB/f.u.
DOS(E_F) ... 9.591 states/eV/cell
Formation energy ... -0.146 eV/atom

Cell lengths 3.892, 3.892, 11.701 Å; angles 90.00, 90.00, 90.00 degrees
Fractional coordinates of all 12 atoms:
Pd 0.500 0.500 0.667
Pd 0.000 0.500 0.165
Fe 0.000 0.000 0.335
Pd 0.000 0.500 0.500
Pd 0.500 0.000 0.835
Fe 0.000 0.000 0.665
Pd 0.500 0.500 0.000
V 0.000 0.000 0.000
Pd 0.500 0.000 0.500
Pd 0.500 0.500 0.333
Pd 0.500 0.000 0.165
Pd 0.000 0.500 0.835


DFT (PBE-GGA) results for LaCuAg after structural relaxation.

Summary:
Spin magnetization ... 0.00 μB/f.u.
DOS(E_F) ... 2.532 states/eV/cell
Formation energy ... -0.086 eV/atom
Excess energy over the best structure of this formula in the dataset ... 45 kJ/mol of formula units

Cell lengths 4.746, 4.746, 4.746 Å; angles 60.00, 60.00, 60.00 degrees
Fractional coordinates of all 3 atoms:
Ag 0.500 0.500 0.500
La 0.000 0.000 0.000
Cu 0.750 0.750 0.750


DFT (PBE-GGA) results for Ir6OsW after structural relaxation.

Summary:
Spin magnetization ... 0.00 μB/f.u.
DOS(E_F) ... 5.866 states/eV/cell
Formation energy ... -0.100 eV/atom

Cell lengths 3.877, 5.495, 5.495 Å; angles 90.00, 90.00, 90.00 degrees
Fractional coordinates of all 8 atoms:
Ir 0.000 0.750 0.750
W 0.500 0.000 0.000
Ir 0.000 0.750 0.250
Ir 0.000 0.250 0.750
Ir 0.500 0.000 0.500
Ir 0.500 0.500 0.000
Ir 0.000 0.250 0.250
Os 0.500 0.500 0.500


DFT (PBE-GGA) results for PrNd2Y3Tm6 after structural relaxation.

Summary:
Spin magnetization ... 0.00 μB/f.u.
DOS(E_F) ... 16.842 states/eV/cell
Formation energy ... 0.026 eV/atom

Cell lengths 6.178, 6.178, 11.742 Å; angles 95.02, 95.02, 119.95 degrees
Fractional coordinates of all 12 atoms:
Tm 0.418 0.085 0.253
Y 0.500 0.500 0.500
Tm 0.582 0.915 0.747
Pr 0.000 0.000 0.000
Tm 0.249 0.249 0.747
Tm 0.915 0.582 0.747
Y 0.833 0.167 0.500
Tm 0.751 0.751 0.253
Tm 0.085 0.418 0.253
Nd 0.333 0.667 0.000
Nd 0.667 0.333 0.000
Y 0.167 0.833 0.500


DFT (PBE-GGA) results for ScTaCl after structural relaxation.

Summary:
Spin magnetization ... 0.00 μB/f.u.
DOS(E_F) ... 3.004 states/eV/cell
Excess energy over the best structure of this formula in the dataset ... 52 kJ/mol of formula units
E_form (uncorrected) ... -0.17 eV/atom

Cell lengths 6.998, 6.737, 3.080 Å; angles 81.81, 72.36, 25.83 degrees
Fractional coordinates of all 3 atoms:
Ta 0.665 0.665 0.335
Cl 0.995 0.995 0.005
Sc 0.339 0.339 0.661


DFT (PBE-GGA) results for Tl2HgTe2 after structural relaxation.

Summary:
Spin magnetization ... 0.00 μB/f.u.
DOS(E_F) ... 0.003 states/eV/cell
Excess energy over the best structure of this formula in the dataset ... 54 kJ/mol of formula units
E_form (uncorrected) ... -0.12 eV/atom

Cell lengths 5.695, 5.695, 7.399 Å; angles 67.36, 67.36, 90.00 degrees
Fractional coordinates of all 5 atoms:
Hg 0.000 0.000 0.000
Te 0.614 0.614 0.772
Tl 0.250 0.750 0.500
Tl 0.750 0.250 0.500
Te 0.386 0.386 0.228


DFT (PBE-GGA) results for Nd4Sm8Th after structural relaxation.

Summary:
Spin magnetization ... 1.65 μB/f.u.
DOS(E_F) ... 22.644 states/eV/cell
Formation energy ... 0.492 eV/atom

Cell lengths 7.900, 7.900, 7.900 Å; angles 90.08, 90.08, 90.08 degrees
Fractional coordinates of all 13 atoms:
Nd 0.000 0.500 0.500
Sm 0.760 0.241 0.760
Sm 0.240 0.240 0.759
Sm 0.760 0.760 0.241
Nd 0.000 0.000 0.000
Nd 0.500 0.500 0.000
Sm 0.241 0.241 0.241
Sm 0.240 0.759 0.240
Sm 0.759 0.759 0.759
Nd 0.500 0.000 0.500
Th 0.500 0.500 0.500
Sm 0.759 0.240 0.240
Sm 0.241 0.760 0.760


DFT (PBE-GGA) results for AlMoRu2Cl after structural relaxation.

Summary:
Spin magnetization ... 1.92 μB/f.u.
DOS(E_F) ... 5.944 states/eV/cell
Excess energy over the best structure of this formula in the dataset ... 0 kJ/mol of formula units
E_form (uncorrected) ... 1.31 eV/atom

Cell lengths 4.679, 5.117, 4.679 Å; angles 90.00, 90.00, 90.00 degrees
Fractional coordinates of all 5 atoms:
Al 0.000 0.500 0.000
Cl 0.500 0.500 0.500
Ru 0.500 0.000 0.000
Mo 0.000 0.000 0.000
Ru 0.000 0.000 0.500


DFT (PBE-GGA) results for VNi2Pd2 after structural relaxation.

Summary:
Spin magnetization ... 0.00 μB/f.u.
DOS(E_F) ... 6.430 states/eV/cell
Formation energy ... -0.096 eV/atom
Excess energy over the best structure of this formula in the dataset ... 0 kJ/mol of formula units

Cell lengths 2.687, 4.697, 6.523 Å; angles 121.96, 89.93, 73.45 degrees
Fractional coordinates of all 5 atoms:
Ni 0.106 0.288 0.113
Ni 0.894 0.712 0.887
Pd 0.688 0.123 0.717
V 0.500 0.500 0.500
Pd 0.312 0.877 0.283


DFT (PBE-GGA) results for AlRe2Rh after structural relaxation.

Summary:
Spin magnetization ... 0.00 μB/f.u.
DOS(E_F) ... 3.827 states/eV/cell
Formation energy ... -0.090 eV/atom

Cell lengths 4.379, 3.665, 3.665 Å; angles 90.00, 90.00, 90.00 degrees
Fractional coordinates of all 4 atoms:
Rh 0.500 0.500 0.000
Re 0.000 0.500 0.500
Al 0.500 0.000 0.500
Re 0.000 0.000 0.000


DFT (PBE-GGA) results for Mg2ZnCdAg5 after structural relaxation.

Summary:
Spin magnetization ... 0.00 μB/f.u.
DOS(E_F) ... 7.997 states/eV/cell
Formation energy ... 0.084 eV/atom

Cell lengths 7.903, 7.903, 7.979 Å; angles 119.68, 119.68, 90.00 degrees
Fractional coordinates of all 18 atoms:
Ag 0.000 0.000 0.000
Ag 0.560 0.674 0.733
Cd 0.750 0.750 0.500
Ag 0.826 0.940 0.267
Cd 0.250 0.250 0.500
Ag 0.940 0.440 0.267
Zn 0.750 0.250 0.500
Mg 0.381 0.881 0.000
Ag 0.674 0.174 0.733
Ag 0.326 0.826 0.267
Ag 0.174 0.060 0.733
Ag 0.060 0.560 0.733
Zn 0.250 0.750 0.500
Mg 0.119 0.381 0.000
Ag 0.440 0.326 0.267
Mg 0.881 0.619 0.000
Ag 0.500 0.500 0.000
Mg 0.619 0.119 0.000